CoIrBr: relaxed, GGA-PBE.

Calculated values
Relative energy among the computed polymorphs, meV/atom: 354.0
Spin magnetization, μB/atom: 1.042
Uncorrected energy, hartree per atom: -0.1773
Space-group type: F-43m (216)

Unit cell a=4.221 b=4.221 c=4.221 alpha=60.00 beta=60.00 gamma=60.00
Positions (direct):
Co  0.750  0.750  0.750
Br  0.500  0.500  0.500
Ir  0.000  0.000  0.000

KMgBe2: relaxed, GGA-PBE.

Calculated values
Spin magnetization, μB/atom: 0.000
DFT formation energy, eV/atom: 0.255
Uncorrected energy, hartree per atom: -0.0838
Space-group type: Cm (8)

Unit cell a=3.675 b=3.676 c=15.629 alpha=89.81 beta=89.80 gamma=59.99
Positions (direct):
K  0.164  0.388  0.962
K  0.509  0.732  0.223
Mg  0.836  0.059  0.432
Mg  0.499  0.723  0.749
Be  0.834  0.057  0.602
Be  0.501  0.724  0.579
Be  0.168  0.391  0.528
Be  0.167  0.390  0.652

MnNb4Si3: relaxed, GGA-PBE.

Calculated values
Spin magnetization, μB/atom: 0.272
Uncorrected energy, hartree per atom: -0.3247
Space-group type: I4/mcm (140)

Unit cell a=4.977 b=7.449 c=7.449 alpha=83.59 beta=70.48 gamma=70.48
Positions (direct):
Nb  0.082  0.137  0.700
Nb  0.281  0.137  0.300
Nb  0.918  0.863  0.300
Nb  0.582  0.700  0.137
Nb  0.781  0.300  0.137
Nb  0.219  0.700  0.863
Nb  0.719  0.863  0.700
Nb  0.418  0.300  0.863
Si  0.848  0.500  0.804
Si  0.750  0.000  0.000
Si  0.250  0.000  0.000
Si  0.348  0.804  0.500
Si  0.652  0.196  0.500
Si  0.152  0.500  0.196
Mn  0.250  0.500  0.500
Mn  0.750  0.500  0.500